[1]
VASP calculation (PBE-GGA) on crystalline Pu2ClO2 at its relaxed geometry.

## Properties
Space group = P-3m1
ΔE_f (raw) = -253 kJ per mole of atoms
Energy relative to the lowest polymorph listed for this composition = 0.000 eV per atom

abc: 3.928 3.928 7.186
angles: 90.00 90.00 120.00
Positions (direct):
Pu 0.333 0.667 0.306
Pu 0.667 0.333 0.694
Cl 0.000 0.000 0.000
O 0.333 0.667 0.630
O 0.667 0.333 0.370


[2]
VASP calculation (PBE-GGA) on crystalline Pu2Cl2O at its relaxed geometry.

## Properties
Space group = Cmc2_1
ΔE_f (raw) = -194 kJ per mole of atoms
Energy relative to the lowest polymorph listed for this composition = 0.000 eV per atom

abc: 3.684 7.256 9.013
angles: 90.00 101.79 90.00
Positions (direct):
Pu 0.475 0.401 0.949
Pu 0.846 0.056 0.692
Pu 0.154 0.556 0.308
Pu 0.525 0.901 0.051
Cl 0.921 0.693 0.841
Cl 0.760 0.381 0.519
Cl 0.240 0.881 0.481
Cl 0.079 0.193 0.159
O 0.420 0.104 0.840
O 0.580 0.604 0.160


[3]
VASP calculation (PBE-GGA) on crystalline Pu2ClO at its relaxed geometry.

## Properties
Space group = P4/mmm
ΔE_f (raw) = -128 kJ per mole of atoms
Energy relative to the lowest polymorph listed for this composition = 0.409 eV per atom

abc: 3.185 3.185 7.320
angles: 90.00 90.00 90.00
Positions (direct):
Cl 0.500 0.500 0.500
O 0.500 0.500 0.000
Pu 0.000 0.000 0.790
Pu 0.000 0.000 0.210


[4]
VASP calculation (PBE-GGA) on crystalline Pu3Cl2O8 at its relaxed geometry.

## Properties
Space group = C2/m
ΔE_f (raw) = -212 kJ per mole of atoms

abc: 6.869 10.924 10.924
angles: 39.29 41.92 41.92
Positions (direct):
Pu 0.000 0.000 0.000
Pu 0.500 0.729 0.271
Pu 0.500 0.271 0.729
Cl 0.850 0.854 0.854
Cl 0.150 0.146 0.146
O 0.666 0.140 0.140
O 0.334 0.860 0.860
O 0.732 0.403 0.403
O 0.268 0.597 0.597
O 0.768 0.251 0.751
O 0.768 0.751 0.251
O 0.232 0.249 0.749
O 0.232 0.749 0.249


What are the DOS at the Fermi energy values for these records? In order: 13.6; 13.8; 11.3; 14.9 states/eV/f.u..
What are the total magnetization values for these records? In order: 11.0; 11.9; 12.9; 6.0 μB per formula unit.